{"formula": "YMoPt2", "functional": "PBE", "state": "relaxed", "lattice": [[5.035, -0.003, 0.000], [-1.607, 4.772, 0.000], [0.000, 0.000, 2.940]], "species": ["Mo", "Pt", "Pt", "Y"], "frac_coords": [[0.000, 0.500, 0.500], [0.000, 0.000, 0.000], [0.500, 0.500, 0.000], [0.500, 0.000, 0.500]], "space_group": "Cmmm (65)"}



{"formula": "ZnTe2RuI", "functional": "PBE", "state": "relaxed", "lattice": [[5.153, 0.000, 0.000], [0.000, 5.153, 0.000], [0.000, 0.000, 5.738]], "species": ["I", "Ru", "Zn", "Te", "Te"], "frac_coords": [[0.000, 0.000, 0.500], [0.000, 0.000, 0.000], [0.500, 0.500, 0.500], [0.000, 0.500, 0.000], [0.500, 0.000, 0.000]], "formation_energy_uncorrected_ev_per_atom": 0.467, "space_group": "P4/mmm (123)"}



{"formula": "ScTcPt2", "functional": "PBE", "state": "relaxed", "lattice": [[-2.498, -1.000, -0.890], [-0.877, -0.200, 2.687], [-2.852, 7.461, -0.376]], "species": ["Pt", "Pt", "Sc", "Tc"], "frac_coords": [[0.000, 0.000, 0.991], [0.000, 0.000, 0.509], [0.500, 0.500, 0.250], [0.500, 0.500, 0.750]], "space_group": "P4/mmm (123)"}



ΔE to the lowest computed polymorph for every record listed, in sequence, given in eV/atom: 0.037, 0.000, 0.106.